# K3Sr PBE-GGA optimized geometry
# E above lowest polymorph ... 0.000 eV/atom
# ΔE_f ... 0.058 eV per atom
# Fermi-level density of states ... 4.41 states/eV/cell
# V ... 265.1 Å³/cell
# Spin magnetization ... 0.00 μB/f.u.
# Raw total energy ... -4.743 eV/cell
data_K3Sr
_space_group_name_H-M_alt 'P -6 m 2'
_space_group_IT_number 187
_space_group_name_Hall 'P -6 2'
_cell_length_a 4.4768
_cell_length_b 4.4768
_cell_length_c 15.2717
_cell_angle_alpha 90.00
_cell_angle_beta 90.00
_cell_angle_gamma 120.00
loop_
_atom_site_label
_atom_site_type_symbol
_atom_site_fract_x
_atom_site_fract_y
_atom_site_fract_z
K1 K 0.0000 0.0000 0.0000
K2 K 0.3333 0.6667 0.2574
Sr1 Sr 0.0000 0.0000 0.5000

=====

# LiLuHgSb PBE-GGA optimized geometry
# E_form (uncorrected) ... -0.49 eV/atom
# Fermi-level density of states ... 11.93 states/eV/cell
# V ... 370.5 Å³/cell
# Spin magnetization ... 0.00 μB/f.u.
# Raw total energy ... -51.303 eV/cell
data_LiLuHgSb
_space_group_name_H-M_alt 'F -4 3 m'
_space_group_IT_number 216
_space_group_name_Hall 'F -4 2 3'
_cell_length_a 7.1821
_cell_length_b 7.1821
_cell_length_c 7.1821
_cell_angle_alpha 90.00
_cell_angle_beta 90.00
_cell_angle_gamma 90.00
loop_
_atom_site_label
_atom_site_type_symbol
_atom_site_fract_x
_atom_site_fract_y
_atom_site_fract_z
Li1 Li 0.0000 0.0000 0.0000
Lu1 Lu 0.0000 0.0000 0.5000
Hg1 Hg 0.2500 0.2500 0.2500
Sb1 Sb 0.2500 0.2500 0.7500

=====

# Sc2GaFe2Ru5 PBE-GGA optimized geometry
# ΔE_f ... -0.140 eV per atom
# Fermi-level density of states ... 19.60 states/eV/cell
# V ... 303.3 Å³/cell
# Spin magnetization ... 4.87 μB/f.u.
# Raw total energy ... -160.784 eV/cell
data_Sc2GaFe2Ru5
_space_group_name_H-M_alt 'P 4/m b m'
_space_group_IT_number 127
_space_group_name_Hall '-P 4 2ab'
_cell_length_a 8.8662
_cell_length_b 8.8662
_cell_length_c 3.8581
_cell_angle_alpha 90.00
_cell_angle_beta 90.00
_cell_angle_gamma 90.00
loop_
_atom_site_label
_atom_site_type_symbol
_atom_site_fract_x
_atom_site_fract_y
_atom_site_fract_z
Sc1 Sc 0.1786 0.3214 0.0000
Ga1 Ga 0.0000 0.0000 0.0000
Fe1 Fe 0.1197 0.6197 0.0000
Ru1 Ru 0.0000 0.5000 0.5000
Ru2 Ru 0.0612 0.7984 0.5000

=====

# ErTm2S PBE-GGA optimized geometry
# E above lowest polymorph ... 0.000 eV/atom
# E_form (uncorrected) ... -0.94 eV/atom
# Fermi-level density of states ... 9.99 states/eV/cell
# V ... 316.1 Å³/cell
# Spin magnetization ... 0.44 μB/f.u.
# Raw total energy ... -64.149 eV/cell
data_ErTm2S
_space_group_name_H-M_alt 'R 3 m'
_space_group_IT_number 160
_space_group_name_Hall 'R 3 -2"'
_cell_length_a 3.6664
_cell_length_b 3.6664
_cell_length_c 27.1551
_cell_angle_alpha 90.00
_cell_angle_beta 90.00
_cell_angle_gamma 120.00
loop_
_atom_site_label
_atom_site_type_symbol
_atom_site_fract_x
_atom_site_fract_y
_atom_site_fract_z
Er1 Er 0.0000 0.0000 0.0000
Tm1 Tm 0.0000 0.0000 0.2279
Tm2 Tm 0.0000 0.0000 0.4373
S1 S 0.0000 0.0000 0.8328

=====

# MnBe2Cr PBE-GGA optimized geometry
# E above lowest polymorph ... 0.071 eV/atom
# ΔE_f ... -0.004 eV per atom
# Fermi-level density of states ... 3.21 states/eV/cell
# V ... 38.7 Å³/cell
# Spin magnetization ... 0.00 μB/f.u.
# Raw total energy ... -26.261 eV/cell
data_MnBe2Cr
_space_group_name_H-M_alt 'P 1 2/m 1'
_space_group_IT_number 10
_space_group_name_Hall '-P 2y'
_cell_length_a 2.3207
_cell_length_b 3.6777
_cell_length_c 4.6473
_cell_angle_alpha 90.00
_cell_angle_beta 102.49
_cell_angle_gamma 90.00
loop_
_atom_site_label
_atom_site_type_symbol
_atom_site_fract_x
_atom_site_fract_y
_atom_site_fract_z
Mn1 Mn 0.0000 0.0000 0.0000
Be1 Be 0.4813 0.5000 0.2433
Cr1 Cr 0.0000 0.0000 0.5000

=====

# Tb7Sm3Er PBE-GGA optimized geometry
# E above lowest polymorph ... 0.000 eV/atom
# ΔE_f ... 0.177 eV per atom
# Fermi-level density of states ... 16.60 states/eV/cell
# V ... 375.5 Å³/cell
# Spin magnetization ... 0.00 μB/f.u.
# Raw total energy ... -49.182 eV/cell
data_Tb7Sm3Er
_space_group_name_H-M_alt 'P 3 m 1'
_space_group_IT_number 156
_space_group_name_Hall 'P 3 -2"'
_cell_length_a 7.0802
_cell_length_b 7.0802
_cell_length_c 8.6500
_cell_angle_alpha 90.00
_cell_angle_beta 90.00
_cell_angle_gamma 120.00
loop_
_atom_site_label
_atom_site_type_symbol
_atom_site_fract_x
_atom_site_fract_y
_atom_site_fract_z
Tb1 Tb 0.0000 0.0000 0.0000
Tb2 Tb 0.1658 0.3315 0.6739
Tb3 Tb 0.5010 0.0019 0.0032
Sm1 Sm 0.3336 0.1668 0.3392
Er1 Er 0.6667 0.3333 0.6777

=====

# CeHo2ErSc4 PBE-GGA optimized geometry
# ΔE_f ... 0.064 eV per atom
# Fermi-level density of states ... 14.19 states/eV/cell
# V ... 218.0 Å³/cell
# Spin magnetization ... 0.44 μB/f.u.
# Raw total energy ... -44.463 eV/cell
data_CeHo2ErSc4
_space_group_name_H-M_alt 'P 1 2/m 1'
_space_group_IT_number 10
_space_group_name_Hall '-P 2y'
_cell_length_a 5.8819
_cell_length_b 3.3966
_cell_length_c 11.0934
_cell_angle_alpha 90.00
_cell_angle_beta 100.32
_cell_angle_gamma 90.00
loop_
_atom_site_label
_atom_site_type_symbol
_atom_site_fract_x
_atom_site_fract_y
_atom_site_fract_z
Ce1 Ce 0.0000 0.0000 0.0000
Ho1 Ho 0.5000 0.0000 0.5000
Ho2 Ho 0.5000 0.5000 0.0000
Er1 Er 0.0000 0.5000 0.5000
Sc1 Sc 0.2432 0.5000 0.2476
Sc2 Sc 0.2469 0.0000 0.7505

=====

# PrAg2BiS4 PBE-GGA optimized geometry
# E_form (uncorrected) ... -0.72 eV/atom
# V ... 183.1 Å³/cell
# Spin magnetization ... 0.00 μB/f.u.
# Raw total energy ... -36.669 eV/cell
data_PrAg2BiS4
_space_group_name_H-M_alt 'P 1 2/m 1'
_space_group_IT_number 10
_space_group_name_Hall '-P 2y'
_cell_length_a 6.6483
_cell_length_b 4.1363
_cell_length_c 7.1456
_cell_angle_alpha 90.00
_cell_angle_beta 111.26
_cell_angle_gamma 90.00
loop_
_atom_site_label
_atom_site_type_symbol
_atom_site_fract_x
_atom_site_fract_y
_atom_site_fract_z
Pr1 Pr 0.0000 0.0000 0.0000
Ag1 Ag 0.5000 0.0000 0.5000
Ag2 Ag 0.5000 0.5000 0.0000
Bi1 Bi 0.0000 0.5000 0.5000
S1 S 0.2523 0.5000 0.2544
S2 S 0.2575 0.0000 0.7505